[1]
{"formula": "AcEuAsH", "functional": "PBE-GGA", "state": "optimized geometry", "lattice_angstrom": [[-2.9883, 2.6021, -3.3103], [-0.2646, -1.4692, -4.9427], [-4.3209, -2.1596, -1.8236]], "species": ["Eu", "H", "Ac", "As"], "frac_coords": [[0.5000, 0.5000, 0.5000], [0.2500, 0.2500, 0.2500], [0.0000, 0.0000, 0.0000], [0.7500, 0.7500, 0.7500]], "spacegroup": "F-43m, No. 216"}

=====

[2]
{"formula": "V5Fe5Si6", "functional": "PBE-GGA", "state": "optimized geometry", "lattice_angstrom": [[-3.5736, -3.5676, 4.5896], [-1.1003, -1.1329, -6.6384], [3.3402, -3.3275, 0.0142]], "species": ["V", "V", "V", "V", "V", "Fe", "Fe", "Fe", "Fe", "Fe", "Si", "Si", "Si", "Si", "Si", "Si"], "frac_coords": [[0.9909, 0.7701, 0.0000], [0.7701, 0.9909, 0.0000], [0.7631, 0.7631, 0.5000], [0.0039, 0.2185, 0.5000], [0.2185, 0.0039, 0.5000], [0.6734, 0.3345, 0.2499], [0.3345, 0.6734, 0.2499], [0.3345, 0.6734, 0.7501], [0.6734, 0.3345, 0.7501], [0.2413, 0.2413, 0.0000], [0.5824, 0.5824, 0.0000], [0.0080, 0.4027, 0.0000], [0.4027, 0.0080, 0.0000], [0.4106, 0.4106, 0.5000], [0.0020, 0.5908, 0.5000], [0.5908, 0.0020, 0.5000]], "spacegroup": "Amm2, No. 38", "formation_energy_uncorrected_ev_per_atom": -0.475}

=====

[3]
{"formula": "DyZr3H", "functional": "PBE-GGA", "state": "optimized geometry", "lattice_angstrom": [[4.6356, 0.0000, 0.0000], [0.0000, 4.6356, 0.0000], [0.0000, 0.0000, 4.6356]], "species": ["H", "Zr", "Zr", "Zr", "Dy"], "frac_coords": [[0.0000, 0.0000, 0.0000], [0.0000, 0.5000, 0.0000], [0.0000, 0.0000, 0.5000], [0.5000, 0.0000, 0.0000], [0.5000, 0.5000, 0.5000]], "spacegroup": "Pm-3m, No. 221"}

=====

[4]
{"formula": "NiPRh3", "functional": "PBE-GGA", "state": "optimized geometry", "lattice_angstrom": [[4.3341, 0.0000, 0.0000], [0.0000, 4.3341, 0.0000], [0.0000, 0.0000, 4.3341]], "species": ["Ni", "Rh", "Rh", "Rh", "P"], "frac_coords": [[0.5000, 0.5000, 0.5000], [0.0000, 0.5000, 0.0000], [0.0000, 0.0000, 0.5000], [0.5000, 0.0000, 0.0000], [0.0000, 0.0000, 0.0000]], "spacegroup": "Pm-3m, No. 221"}

=====

[5]
{"formula": "Li2TaAu", "functional": "PBE-GGA", "state": "optimized geometry", "lattice_angstrom": [[-1.8115, -4.2311, -1.3408], [2.4598, -1.1183, 0.2055], [-0.7808, -1.2194, 4.9029]], "species": ["Au", "Li", "Li", "Ta"], "frac_coords": [[0.5000, 0.7500, 0.7500], [0.0000, 0.8655, 0.0015], [0.0000, 0.6345, 0.4985], [0.5000, 0.2500, 0.2500]], "polymorph_energy_mev_per_atom": 41.1, "spacegroup": "P2/m, No. 10"}

=====

[6]
{"formula": "Rb4Ni", "functional": "PBE-GGA", "state": "optimized geometry", "lattice_angstrom": [[-5.8581, -3.5320, -0.6986], [-0.5250, -0.4818, 6.8390], [-3.5619, 5.8799, 0.1408]], "species": ["Ni", "Rb", "Rb", "Rb", "Rb"], "frac_coords": [[0.5000, 0.5000, 0.5000], [0.0000, 0.0000, 0.0000], [0.5000, 0.0000, 0.5000], [0.0000, 0.5000, 0.5000], [0.5000, 0.5000, 0.0000]], "spacegroup": "Pm-3m, No. 221"}

=====

[7]
{"formula": "RbTc3Ru", "functional": "PBE-GGA", "state": "optimized geometry", "lattice_angstrom": [[-1.6637, -1.9042, 3.7905], [-2.1435, -3.1362, -2.5162], [3.6605, -2.7019, 0.2493]], "species": ["Ru", "Tc", "Tc", "Tc", "Rb"], "frac_coords": [[0.5000, 0.5000, 0.5000], [0.0000, 0.5000, 0.0000], [0.0000, 0.0000, 0.5000], [0.5000, 0.0000, 0.0000], [0.0000, 0.0000, 0.0000]], "polymorph_energy_mev_per_atom": 1684.2, "spacegroup": "Pm-3m, No. 221"}

=====

[8]
{"formula": "Dy2MgSn3", "functional": "PBE-GGA", "state": "optimized geometry", "lattice_angstrom": [[5.8709, 0.0000, 0.0000], [0.0000, 8.0247, -0.2995], [0.0000, -2.9177, 7.4814]], "species": ["Dy", "Dy", "Dy", "Dy", "Mg", "Mg", "Sn", "Sn", "Sn", "Sn", "Sn", "Sn"], "frac_coords": [[0.7500, 0.4581, 0.1624], [0.2500, 0.5419, 0.8376], [0.2500, 0.8376, 0.5419], [0.7500, 0.1624, 0.4581], [0.7500, 0.9095, 0.9095], [0.2500, 0.0905, 0.0905], [0.2500, 0.4153, 0.4153], [0.7500, 0.5847, 0.5847], [0.5000, 0.1857, 0.8143], [0.0000, 0.1857, 0.8143], [0.5000, 0.8143, 0.1857], [0.0000, 0.8143, 0.1857]], "spacegroup": "Cmcm, No. 63"}

=====

Across the entries above, electronic total energy takes the values -25.1 -128.0 -33.8 -31.8 -18.8 -7.5 -23.9 -49.5 eV per cell, respectively.
Across the entries above, N(E_F) takes the values 0.572 0.863 1.450 1.986 0.362 1.936 1.501 0.517 states/eV/atom, respectively.